Below is a relaxed CoPbSO crystal, with properties calculated at the GGA+U level.

Output
The excess energy over the best structure of this formula in the dataset comes out at 216 meV per atom. The total energy comes out at -4.99 eV/atom. The calculation puts the volume at 153.3 Å³ per cell. As for the space group: Cmc2_1, No. 36.

Unit cell a=8.2072 b=8.2072 c=5.5931 alpha=90.00 beta=90.00 gamma=155.99
Fractional coordinates of all 8 atoms:
Co 0.1825 0.8175 0.5000
Co 0.8175 0.1825 0.0000
Pb 0.4238 0.5762 0.5545
Pb 0.5762 0.4238 0.0545
S 0.1992 0.8008 0.9254
S 0.8008 0.1992 0.4254
O 0.3819 0.6181 0.9344
O 0.6181 0.3819 0.4344